Here is a relaxed HoTm2InN crystal from Alexandria via LeMat-Bulk. Energies are from GGA-PBE.

Cell lengths 4.788, 4.737, 4.737 Å; angles 90.00, 90.00, 90.00 degrees
Atoms (fractional coordinates):
Ho 0.500 0.000 0.000
Tm 0.000 0.000 0.500
Tm 0.000 0.500 0.000
In 0.500 0.500 0.500
N 0.000 0.000 0.000

## Properties
The space-group type is P4/mmm, No. 123. The value obtained for the formation energy from raw total energies is -5.08 eV per formula unit. As for the energy: -29.666 eV for the cell shown. The calculation puts the total magnetization at 0.00 Bohr magnetons per cell.